VASP calculation (PBE) on crystalline Y2Ni6C at its relaxed geometry.

The structure in extended XYZ format:
```
9
Lattice="0.252 -5.347 1.465 -3.395 -3.691 -2.377 2.030 -3.756 -3.546" Properties=species:S:1:pos:R:3 pbc="T T T"
Ni 0.853 -7.741 -2.155
Ni 0.728 -5.086 -2.883
Ni -0.958 -6.919 -4.063
Ni -0.155 -5.876 -0.395
Ni -1.841 -7.709 -1.575
Y -0.278 -3.199 -1.114
Ni -1.966 -5.054 -2.302
Y -0.835 -9.596 -3.343
C 0.000 0.000 0.000
```

Computed properties:
DFT total energy: -6.426 eV/atom
magnetization: 0.0 μB/cell